Arrangement w

Here is a relaxed structure of TlSb2Pb4 from the Alexandria database. Energies are from PBE.

Calculated values
The total magnetization comes out at 0.00 μB per cell. The symmetry is No. 1. The calculation puts the calculated density at 9.56 g cm⁻³.

Structure (CIF):
```
data_TlSb2Pb4
_chemical_formula_sum 'Tl2 Sb4 Pb8'
_cell_length_a 9.0256
_cell_length_b 6.8603
_cell_length_c 8.9223
_cell_angle_alpha 101.19
_cell_angle_beta 111.05
_cell_angle_gamma 111.72
_space_group_name_H-M_alt 'P 1'
_space_group_IT_number 1
loop_
_space_group_symop_operation_xyz
'x,y,z'
loop_
_atom_site_label
_atom_site_type_symbol
_atom_site_fract_x
_atom_site_fract_y
_atom_site_fract_z
Pb1 Pb 0.4746 0.1640 0.9944
Pb2 Pb 0.3027 0.1088 0.2800
Pb3 Pb 0.7330 0.9184 0.5064
Pb4 Pb 0.4468 0.6009 0.6637
Pb5 Pb 0.9848 0.2472 0.3715
Pb6 Pb 0.2761 0.5822 0.2201
Pb7 Pb 0.0337 0.6848 0.8367
Pb8 Pb 0.8626 0.6272 0.1289
Sb1 Sb 0.7314 0.4500 0.4219
Sb2 Sb 0.6218 0.2854 0.6989
Sb3 Sb 0.5600 0.7815 0.0779
Sb4 Sb 0.1725 0.3346 0.7993
Tl1 Tl 0.8735 0.0827 0.9456
Tl2 Tl 0.1763 0.8823 0.5547
```

Arrangement x

Here is a relaxed structure of TlSb2Pb4 from the Alexandria database. Energies are from PBE.

Calculated values
The total magnetization comes out at 0.00 μB per cell. The symmetry is No. 12. The calculation puts the calculated density at 9.28 g cm⁻³.

Structure (CIF):
```
data_TlSb2Pb4
_chemical_formula_sum 'Tl1 Sb2 Pb4'
_cell_length_a 5.9231
_cell_length_b 5.9230
_cell_length_c 10.8480
_cell_angle_alpha 63.46
_cell_angle_beta 63.46
_cell_angle_gamma 43.17
_space_group_name_H-M_alt 'P 1'
_space_group_IT_number 1
loop_
_space_group_symop_operation_xyz
'x,y,z'
loop_
_atom_site_label
_atom_site_type_symbol
_atom_site_fract_x
_atom_site_fract_y
_atom_site_fract_z
Sb1 Sb 0.7309 0.7309 0.7226
Sb2 Sb 0.2691 0.2691 0.2774
Pb1 Pb 0.6422 0.6422 0.1456
Pb2 Pb 0.0889 0.0889 0.6094
Pb3 Pb 0.3578 0.3578 0.8544
Pb4 Pb 0.9111 0.9111 0.3906
Tl1 Tl 0.0000 0.0000 0.0000
```

Which structure is most stable? arrangement w, by 0.016 eV/atom over the runner-up.

Arrangement w

Here is a relaxed structure of Tl2Sb2Pb from the Alexandria database. Energies are from PBE.

Calculated values
The total magnetization comes out at 0.00 μB per cell. The symmetry is No. 139. The calculation puts the calculated density at 8.70 g cm⁻³.

Structure (CIF):
```
data_Tl2Sb2Pb
_chemical_formula_sum 'Tl2 Sb2 Pb1'
_cell_length_a 4.6137
_cell_length_b 4.6137
_cell_length_c 8.3675
_cell_angle_alpha 74.00
_cell_angle_beta 74.00
_cell_angle_gamma 90.00
_space_group_name_H-M_alt 'P 1'
_space_group_IT_number 1
loop_
_space_group_symop_operation_xyz
'x,y,z'
loop_
_atom_site_label
_atom_site_type_symbol
_atom_site_fract_x
_atom_site_fract_y
_atom_site_fract_z
Tl1 Tl 0.2500 0.7500 0.5000
Tl2 Tl 0.7500 0.2500 0.5000
Sb1 Sb 0.5932 0.5932 0.8137
Sb2 Sb 0.4068 0.4068 0.1863
Pb1 Pb 0.0000 0.0000 0.0000
```

Arrangement x

Here is a relaxed structure of Tl2Sb2Pb from the Alexandria database. Energies are from PBE.

Calculated values
The total magnetization comes out at 0.00 μB per cell. The symmetry is No. 71. The calculation puts the calculated density at 8.58 g cm⁻³.

Structure (CIF):
```
data_Tl2Sb2Pb
_chemical_formula_sum 'Tl2 Sb2 Pb1'
_cell_length_a 4.9649
_cell_length_b 6.4359
_cell_length_c 6.4288
_cell_angle_alpha 65.83
_cell_angle_beta 67.26
_cell_angle_gamma 67.30
_space_group_name_H-M_alt 'P 1'
_space_group_IT_number 1
loop_
_space_group_symop_operation_xyz
'x,y,z'
loop_
_atom_site_label
_atom_site_type_symbol
_atom_site_fract_x
_atom_site_fract_y
_atom_site_fract_z
Pb1 Pb 0.5000 0.5000 0.0000
Tl1 Tl 0.2932 0.2064 0.7068
Tl2 Tl 0.7068 0.7936 0.2932
Sb1 Sb 0.9999 0.2106 0.2891
Sb2 Sb 0.0001 0.7894 0.7109
```

Arrangement y

Here is a relaxed structure of Tl2Sb2Pb from the Alexandria database. Energies are from PBE.

Calculated values
The total magnetization comes out at 0.00 μB per cell. The symmetry is No. 127. The calculation puts the calculated density at 9.41 g cm⁻³.

Structure (CIF):
```
data_Tl2Sb2Pb
_chemical_formula_sum 'Tl4 Sb4 Pb2'
_cell_length_a 8.7484
_cell_length_b 8.7484
_cell_length_c 3.9653
_cell_angle_alpha 90.00
_cell_angle_beta 90.00
_cell_angle_gamma 90.00
_space_group_name_H-M_alt 'P 1'
_space_group_IT_number 1
loop_
_space_group_symop_operation_xyz
'x,y,z'
loop_
_atom_site_label
_atom_site_type_symbol
_atom_site_fract_x
_atom_site_fract_y
_atom_site_fract_z
Pb1 Pb 0.0000 0.0000 0.0000
Pb2 Pb 0.5000 0.5000 0.0000
Sb1 Sb 0.1633 0.6633 0.5000
Sb2 Sb 0.6633 0.8367 0.5000
Sb3 Sb 0.8367 0.3367 0.5000
Sb4 Sb 0.3367 0.1633 0.5000
Tl1 Tl 0.6354 0.1354 0.0000
Tl2 Tl 0.3646 0.8646 0.0000
Tl3 Tl 0.8646 0.6354 0.0000
Tl4 Tl 0.1354 0.3646 0.0000
```

Which structure is most stable? arrangement x, by 0.037 eV/atom over the runner-up.

Arrangement w

Here is a relaxed structure of Tl4SbPb2 from the Alexandria database. Energies are from PBE.

Calculated values
The total magnetization comes out at 0.00 μB per cell. The symmetry is No. 65. The calculation puts the calculated density at 9.66 g cm⁻³.

Structure (CIF):
```
data_Tl4SbPb2
_chemical_formula_sum 'Tl4 Sb1 Pb2'
_cell_length_a 4.6976
_cell_length_b 7.0538
_cell_length_c 7.0538
_cell_angle_alpha 84.89
_cell_angle_beta 90.00
_cell_angle_gamma 90.00
_space_group_name_H-M_alt 'P 1'
_space_group_IT_number 1
loop_
_space_group_symop_operation_xyz
'x,y,z'
loop_
_atom_site_label
_atom_site_type_symbol
_atom_site_fract_x
_atom_site_fract_y
_atom_site_fract_z
Tl1 Tl 0.0000 0.5000 0.0000
Tl2 Tl 0.0000 0.0000 0.5000
Tl3 Tl 0.5000 0.2893 0.7107
Tl4 Tl 0.5000 0.7107 0.2893
Sb1 Sb 0.0000 0.0000 0.0000
Pb1 Pb 0.5000 0.2248 0.2248
Pb2 Pb 0.5000 0.7752 0.7752
```

Arrangement x

Here is a relaxed structure of Tl4SbPb2 from the Alexandria database. Energies are from PBE.

Calculated values
The total magnetization comes out at 0.00 μB per cell. The symmetry is No. 139. The calculation puts the calculated density at 8.01 g cm⁻³.

Structure (CIF):
```
data_Tl4SbPb2
_chemical_formula_sum 'Tl4 Sb1 Pb2'
_cell_length_a 5.9314
_cell_length_b 5.9314
_cell_length_c 9.0096
_cell_angle_alpha 109.22
_cell_angle_beta 109.22
_cell_angle_gamma 90.00
_space_group_name_H-M_alt 'P 1'
_space_group_IT_number 1
loop_
_space_group_symop_operation_xyz
'x,y,z'
loop_
_atom_site_label
_atom_site_type_symbol
_atom_site_fract_x
_atom_site_fract_y
_atom_site_fract_z
Pb1 Pb 0.3991 0.3991 0.7982
Pb2 Pb 0.6009 0.6009 0.2018
Tl1 Tl 0.0000 0.5000 0.0000
Tl2 Tl 0.1941 0.1941 0.3883
Tl3 Tl 0.5000 0.0000 0.0000
Tl4 Tl 0.8059 0.8059 0.6117
Sb1 Sb 0.0000 0.0000 0.0000
```

Which structure is most stable? arrangement w, by 0.243 eV/atom over the runner-up.